(P)
Density functional theory data (PBE-GGA) for La5Pm3Pr after structural relaxation.

Output
The value obtained for the total magnetization is 0.0000 μB/atom.

a b c (Å): 19.137 6.664 11.596
angles (deg): 90.00 114.62 90.00
Space group C2/c (No. 15)
Asymmetric unit:
La: 0.000 0.094 0.250
La: 0.168 0.191 0.713
La: 0.170 0.322 0.362
Pm: 0.000 0.500 0.000
Pm: 0.161 0.204 0.015
Pr: 0.000 0.366 0.750



(Q)
Density functional theory data (PBE-GGA) for La5Pm3Pr after structural relaxation.

Output
The value obtained for the total magnetization is 0.0000 μB/atom.

a b c (Å): 8.963 8.963 16.181
angles (deg): 90.00 90.00 90.00
Space group I4/mcm (No. 140)
Asymmetric unit:
La: 0.000 0.000 0.000
La: 0.199 0.301 0.138
Pm: 0.000 0.000 0.250
Pm: 0.119 0.381 0.500
Pr: 0.000 0.500 0.250



Least stable structure: (Q)



(P)
Density functional theory data (PBE-GGA) for La4PmPr5 after structural relaxation.

Output
The value obtained for the total magnetization is 0.0000 μB/atom.

a b c (Å): 10.779 10.779 6.159
angles (deg): 90.00 90.00 90.00
Space group P4/nmm (No. 129, origin choice 2)
Asymmetric unit:
La: 0.049 0.750 0.131
Pm: 0.250 0.250 0.828
Pr: 0.090 0.090 0.344
Pr: 0.250 0.750 0.500



(Q)
Density functional theory data (PBE-GGA) for La4PmPr5 after structural relaxation.

Output
The value obtained for the total magnetization is 0.0000 μB/atom.

a b c (Å): 17.819 3.662 11.510
angles (deg): 90.00 90.27 90.00
Space group C2/m (No. 12)
Asymmetric unit:
La: 0.029 0.000 0.249
La: 0.155 0.500 0.749
Pm: 0.000 0.500 0.000
Pr: 0.000 0.500 0.500
Pr: 0.173 0.000 0.055
Pr: 0.174 0.000 0.443



Least stable structure: (Q)



(P)
Density functional theory data (PBE-GGA) for LaTbPmPr after structural relaxation.

Output
The value obtained for the total magnetization is 0.0000 μB/atom.

a b c (Å): 8.254 8.254 8.254
angles (deg): 90.00 90.00 90.00
Space group F-43m (No. 216)
Asymmetric unit:
La: 0.000 0.000 0.000
Tb: 0.250 0.250 0.750
Pm: 0.250 0.250 0.250
Pr: 0.000 0.000 0.500



(Q)
Density functional theory data (PBE-GGA) for LaTbPmPr after structural relaxation.

Output
The value obtained for the total magnetization is 0.0000 μB/atom.

a b c (Å): 5.203 5.203 10.358
angles (deg): 90.00 90.00 90.00
Space group I-4m2 (No. 119)
Asymmetric unit:
La: 0.000 0.000 0.000
Tb: 0.000 0.500 0.750
Pm: 0.000 0.000 0.500
Pr: 0.000 0.500 0.250



Least stable structure: (P)



(P)
Density functional theory data (PBE-GGA) for LaPmPt2 after structural relaxation.

Output
The value obtained for the total magnetization is 0.0000 μB/atom.

a b c (Å): 7.253 7.253 7.253
angles (deg): 90.00 90.00 90.00
Space group Fm-3m (No. 225)
Asymmetric unit:
La: 0.000 0.000 0.000
Pm: 0.000 0.000 0.500
Pt: 0.250 0.250 0.250



(Q)
Density functional theory data (PBE-GGA) for LaPmPt2 after structural relaxation.

Output
The value obtained for the total magnetization is 0.0000 μB/atom.

a b c (Å): 4.580 3.934 10.965
angles (deg): 90.00 90.00 90.00
Space group Amm2 (No. 38)
Asymmetric unit:
La: 0.000 0.000 0.000
Pm: 0.500 0.000 0.728
Pt: 0.000 0.000 0.273
Pt: 0.500 0.000 0.453



(R)
Density functional theory data (PBE-GGA) for LaPmPt2 after structural relaxation.

Output
The value obtained for the total magnetization is 0.0000 μB/atom.

a b c (Å): 3.616 3.616 7.275
angles (deg): 90.00 90.00 90.00
Space group P4/mmm (No. 123)
Asymmetric unit:
La: 0.000 0.000 0.000
Pm: 0.000 0.000 0.500
Pt: 0.500 0.500 0.260



Least stable structure: (P)